Crystalline SrPuTlI6 at its relaxed geometry, computed with PBE.

a = 8.2599 Å, b = 8.2599 Å, c = 15.0826 Å
α = 90.00°, β = 90.00°, γ = 120.00°
Space group P-31c (No. 163)
Symmetry-distinct sites (fractional):
1 Sr 0.3333 0.6667 0.2500 [2 per cell]
2 Pu 0.3333 0.6667 0.7500 [2 per cell]
3 Tl 0.0000 0.0000 0.0000 [2 per cell]
4 I 0.0170 0.3677 0.6308 [12 per cell]

total DFT energy (no corrections)	-4.256	eV/atom
DOS(E_F)	1.618	states/eV/atom

---

Crystalline PuTaI at its relaxed geometry, computed with PBE.

a = 14.383 Å, b = 3.379 Å, c = 5.999 Å
α = 90.00°, β = 90.00°, γ = 90.00°
Space group Amm2 (No. 38)
Symmetry-distinct sites (fractional):
1 Pu 0.000 0.000 0.000 [2 per cell]
2 Pu 0.500 0.000 0.292 [2 per cell]
3 Ta 0.334 0.000 0.996 [4 per cell]
4 I 0.182 0.000 0.327 [4 per cell]

total DFT energy (no corrections)	-8.825	eV/atom
DOS(E_F)	2.631	states/eV/atom

---

Crystalline TbPu2I6 at its relaxed geometry, computed with PBE.

a = 17.447 Å, b = 4.257 Å, c = 10.890 Å
α = 90.00°, β = 111.72°, γ = 90.00°
Space group C2/m (No. 12)
Symmetry-distinct sites (fractional):
1 Tb 0.000 0.000 0.000 [2 per cell]
2 Pu 0.170 0.500 0.340 [4 per cell]
3 I 0.026 0.000 0.296 [4 per cell]
4 I 0.135 0.500 0.029 [4 per cell]
5 I 0.192 0.500 0.640 [4 per cell]

total DFT energy (no corrections)	-5.850	eV/atom
DOS(E_F)	2.551	states/eV/atom

---

Crystalline TbPuI at its relaxed geometry, computed with PBE.

a = 13.881 Å, b = 4.145 Å, c = 6.466 Å
α = 90.00°, β = 97.75°, γ = 90.00°
Space group P2_1/c (No. 14)
Symmetry-distinct sites (fractional):
1 Tb 0.197 0.014 0.272 [4 per cell]
2 Pu 0.002 0.750 0.426 [4 per cell]
3 I 0.353 0.506 0.170 [4 per cell]

total DFT energy (no corrections)	-7.197	eV/atom
DOS(E_F)	1.296	states/eV/atom